(1)
Compound: Zr3Zn2Pt4
Source: Alexandria
Functional: GGA-PBE
Structure: relaxed

## Properties
total moment = 0.000 Bohr magnetons per cell
formation energy from the elements = -0.844 eV/atom
energy = -6.661 eV per atom

Unit cell a=8.2261 b=4.7301 c=8.4770 alpha=90.00 beta=100.94 gamma=90.00
Space group C2/m (No. 12)
Symmetry-distinct sites (fractional):
Zr (0.0000, 0.0000, 0.0000)
Zr (0.1257, 0.5000, 0.7416)
Zn (0.2313, 0.5000, 0.4019)
Pt (0.0501, 0.0000, 0.3340)
Pt (0.1830, 0.5000, 0.0729)

---

(2)
Compound: ZrZnPt2
Source: Alexandria
Functional: GGA-PBE
Structure: relaxed

## Properties
total moment = 0.000 Bohr magnetons per cell
formation energy from the elements = -0.798 eV/atom
energy = -6.274 eV per atom

Unit cell a=3.9878 b=3.9878 c=8.3874 alpha=90.00 beta=90.00 gamma=90.00
Space group I-4m2 (No. 119)
Symmetry-distinct sites (fractional):
Zr (0.0000, 0.0000, 0.0000)
Zn (0.0000, 0.5000, 0.7500)
Pt (0.0000, 0.0000, 0.5000)
Pt (0.0000, 0.5000, 0.2500)

---

(3)
Compound: ZrZnPt2
Source: Alexandria
Functional: GGA-PBE
Structure: relaxed

## Properties
total moment = 0.000 Bohr magnetons per cell
formation energy from the elements = -0.445 eV/atom
energy = -5.921 eV per atom

Unit cell a=7.1805 b=7.1805 c=5.6593 alpha=90.00 beta=90.00 gamma=90.00
Space group I-42d (No. 122)
Symmetry-distinct sites (fractional):
Zr (0.0000, 0.0000, 0.0000)
Zn (0.0000, 0.0000, 0.5000)
Pt (0.2358, 0.2500, 0.6250)

---

Copy entry 2 word for word.
Compound: ZrZnPt2
Source: Alexandria
Functional: GGA-PBE
Structure: relaxed

## Properties
total moment = 0.000 Bohr magnetons per cell
formation energy from the elements = -0.798 eV/atom
energy = -6.274 eV per atom

Unit cell a=3.9878 b=3.9878 c=8.3874 alpha=90.00 beta=90.00 gamma=90.00
Space group I-4m2 (No. 119)
Symmetry-distinct sites (fractional):
Zr (0.0000, 0.0000, 0.0000)
Zn (0.0000, 0.5000, 0.7500)
Pt (0.0000, 0.0000, 0.5000)
Pt (0.0000, 0.5000, 0.2500)